DFT (PBE) results for a relaxed structure of CuBi2Pd8.

Structure (CIF):
```
data_CuBi2Pd8
_chemical_formula_sum 'Cu2 Bi4 Pd16'
_space_group_name_H-M_alt 'C 1 2/m 1'
_space_group_IT_number 12
_cell_length_a 14.722
_cell_length_b 4.215
_cell_length_c 6.086
_cell_angle_alpha 90.00
_cell_angle_beta 100.59
_cell_angle_gamma 90.00
loop_
_space_group_symop_operation_xyz
'x,y,z'
'-x,-y,-z'
'-x,y,-z'
'x,-y,z'
'x+1/2,y+1/2,z'
'-x+1/2,-y+1/2,-z'
'-x+1/2,y+1/2,-z'
'x+1/2,-y+1/2,z'
loop_
_atom_site_label
_atom_site_type_symbol
_atom_site_fract_x
_atom_site_fract_y
_atom_site_fract_z
_atom_site_occupancy
Cu1 Cu 0.000 0.000 0.000 1
Bi1 Bi 0.145 0.500 0.190 1
Pd1 Pd 0.040 0.500 0.735 1
Pd2 Pd 0.087 0.000 0.444 1
Pd3 Pd 0.171 0.000 0.904 1
Pd4 Pd 0.220 0.500 0.640 1
```

## Properties
- energy of formation (eV per atom) = -0.183
- M_tot (μB per cell) = 0.0
- excess energy over the best structure of this formula in the dataset (kJ/mol of formula units) = 0